A plane-wave DFT calculation with PBEsol was carried out for an optimized crystal structure of ZrBr2F.

## Properties
final energy = -19.82 eV for the cell shown
formation energy from raw total energies = -1.2665 eV/atom

Cell lengths 4.6456, 4.6456, 4.6456 Å; angles 60.00, 60.00, 60.00 degrees
Element x y z (fractional)
Br 0.7500 0.7500 0.7500
Br 0.2500 0.2500 0.2500
F 0.0000 0.0000 0.0000
Zr 0.5000 0.5000 0.5000

A plane-wave DFT calculation with PBEsol was carried out for an optimized crystal structure of Zr3BrF.

## Properties
final energy = -32.83 eV for the cell shown
formation energy from raw total energies = -0.3528 eV/atom

Cell lengths 4.5144, 4.5144, 4.5144 Å; angles 90.00, 90.00, 90.00 degrees
Element x y z (fractional)
Zr 0.0000 0.5000 0.0000
Br 0.5000 0.5000 0.5000
Zr 0.0000 0.0000 0.5000
F 0.0000 0.0000 0.0000
Zr 0.5000 0.0000 0.0000

A plane-wave DFT calculation with PBEsol was carried out for an optimized crystal structure of FeBr2.

## Properties
final energy = -24.25 eV for the cell shown
formation energy from raw total energies = 0.1929 eV/atom

Cell lengths 4.1825, 4.1825, 9.3595 Å; angles 90.00, 90.00, 120.00 degrees
Element x y z (fractional)
Br 0.6667 0.3333 0.2500
Fe 0.3333 0.6667 0.2500
Br 0.0000 0.0000 0.0000
Br 0.0000 0.0000 0.5000
Br 0.3333 0.6667 0.7500
Fe 0.6667 0.3333 0.7500